Record 1
Compound: LiVAs
Source: the Alexandria database
Functional: PBE
Structure: optimized geometry

The calculation puts the energy above the most stable polymorph in this dataset at 266 meV per atom. Its formation enthalpy at 0 K is -0.311 eV/atom. As for the density: 5.6 g cm⁻³.

The space group is P6_3/mmc (No. 194) and the conventional cell measures 4.2424, 4.2424 and 5.0795 Å, with angles of 90.00, 90.00 and 120.00 degrees. The distinct sites, in fractional coordinates, are Li at (0.3333, 0.6667, 0.2500), V at (0.0000, 0.0000, 0.0000) and As at (0.3333, 0.6667, 0.7500).

=====

Record 2
Compound: BaIn2AgRh
Source: the Alexandria database
Functional: PBE
Structure: optimized geometry

The calculation puts the energy above the most stable polymorph in this dataset at 773 meV per atom. Its formation enthalpy at 0 K is 0.494 eV/atom. As for the density: 6.0 g cm⁻³.

The space group is P4/mmm (No. 123) and the conventional cell measures 5.148, 5.148 and 6.040 Å, with angles of 90.00, 90.00 and 90.00 degrees. The distinct sites, in fractional coordinates, are Ba at (0.000, 0.000, 0.000), In at (0.000, 0.500, 0.500), Ag at (0.000, 0.000, 0.500) and Rh at (0.500, 0.500, 0.000).

=====

Record 3
Compound: Y3Ag
Source: the Alexandria database
Functional: PBE
Structure: optimized geometry

The calculation puts the energy above the most stable polymorph in this dataset at 149 meV per atom. Its formation enthalpy at 0 K is 0.014 eV/atom. As for the density: 5.5 g cm⁻³.

The space group is Cmmm (No. 65) and the conventional cell measures 7.234, 8.242 and 3.764 Å, with angles of 90.00, 90.00 and 90.00 degrees. The distinct sites, in fractional coordinates, are Y at (0.000, 0.000, 0.000), Y at (0.250, 0.250, 0.500) and Ag at (0.000, 0.500, 0.000).

=====

Record 4
Compound: Y3ScAs4
Source: the Alexandria database
Functional: PBE
Structure: optimized geometry

Its formation enthalpy at 0 K is -1.496 eV/atom. As for the density: 5.3 g cm⁻³.

The space group is P2/c (No. 13) and the conventional cell measures 7.041, 8.143 and 7.043 Å, with angles of 90.00, 109.51 and 90.00 degrees. The distinct sites, in fractional coordinates, are Y at (0.000, 0.124, 0.250), Y at (0.000, 0.373, 0.750), Y at (0.500, 0.374, 0.250), Sc at (0.500, 0.124, 0.750), As at (0.255, 0.370, 0.505) and As at (0.261, 0.119, 0.000).

=====

Record 5
Compound: CrTeRu4
Source: the Alexandria database
Functional: PBE
Structure: optimized geometry

As for the formation energy without anion corrections: 653 meV per atom. As for the density: 9.8 g cm⁻³.

The space group is F-43m (No. 216) and the conventional cell measures 7.339, 7.339 and 7.339 Å, with angles of 90.00, 90.00 and 90.00 degrees. The distinct sites, in fractional coordinates, are Cr at (0.000, 0.000, 0.000), Te at (0.250, 0.250, 0.250) and Ru at (0.125, 0.125, 0.625).

=====

Record 6
Compound: Sm2TmZrP4
Source: the Alexandria database
Functional: PBE
Structure: optimized geometry

Its formation enthalpy at 0 K is -1.528 eV/atom. As for the density: 6.4 g cm⁻³.

The space group is P2/m (No. 10) and the conventional cell measures 6.862, 3.960 and 6.878 Å, with angles of 90.00, 109.27 and 90.00 degrees. The distinct sites, in fractional coordinates, are Sm at (0.000, 0.000, 0.000), Sm at (0.500, 0.500, 0.000), Tm at (0.000, 0.500, 0.500), Zr at (0.500, 0.000, 0.500), P at (0.251, 0.000, 0.735) and P at (0.262, 0.500, 0.268).

=====

Record 7
Compound: Rb2Pa3TiO12
Source: the Alexandria database
Functional: PBE
Structure: optimized geometry

As for the formation energy without anion corrections: -2765 meV per atom. As for the density: 5.3 g cm⁻³.

The space group is R-3m (No. 166, hexagonal axes) and the conventional cell measures 8.0607, 8.0607 and 18.5586 Å, with angles of 90.00, 90.00 and 120.00 degrees. The distinct sites, in fractional coordinates, are Rb at (0.0000, 0.0000, 0.1342), Pa at (0.0000, 0.5000, 0.0000), Ti at (0.0000, 0.0000, 0.5000), O at (0.0804, 0.5402, 0.3622) and O at (0.1010, 0.5505, 0.1077).

=====

Record 8
Compound: Dy4HgGeSe2
Source: the Alexandria database
Functional: PBE
Structure: optimized geometry

As for the formation energy without anion corrections: -1193 meV per atom. As for the density: 8.8 g cm⁻³.

The space group is I-4m2 (No. 119) and the conventional cell measures 5.893, 5.893 and 11.749 Å, with angles of 90.00, 90.00 and 90.00 degrees. The distinct sites, in fractional coordinates, are Dy at (0.000, 0.000, 0.242), Dy at (0.000, 0.500, 0.001), Hg at (0.000, 0.000, 0.500), Ge at (0.000, 0.500, 0.250), Se at (0.000, 0.000, 0.000) and Se at (0.000, 0.500, 0.750).

=====

Record 9
Compound: Cd9PdRh2
Source: the Alexandria database
Functional: PBE
Structure: optimized geometry

Its formation enthalpy at 0 K is -0.136 eV/atom. As for the density: 9.7 g cm⁻³.

The space group is P4/mmm (No. 123) and the conventional cell measures 4.197, 4.197 and 12.808 Å, with angles of 90.00, 90.00 and 90.00 degrees. The distinct sites, in fractional coordinates, are Cd at (0.000, 0.000, 0.000), Cd at (0.000, 0.000, 0.333), Cd at (0.000, 0.500, 0.169), Cd at (0.000, 0.500, 0.500), Pd at (0.500, 0.500, 0.000) and Rh at (0.500, 0.500, 0.338).

=====

Record 10
Compound: CaNb3O8
Source: the Alexandria database
Functional: PBE
Structure: optimized geometry

As for the formation energy without anion corrections: -2632 meV per atom. As for the density: 4.1 g cm⁻³.

The space group is Cm (No. 8) and the conventional cell measures 13.345, 3.959 and 7.087 Å, with angles of 90.00, 105.90 and 90.00 degrees. The distinct sites, in fractional coordinates, are Ca at (0.000, 0.000, 0.000), Nb at (0.094, 0.000, 0.584), Nb at (0.297, 0.000, 0.016), Nb at (0.386, 0.000, 0.586), O at (0.053, 0.500, 0.613), O at (0.065, 0.000, 0.322), O at (0.151, 0.000, 0.915), O at (0.247, 0.000, 0.633), O at (0.317, 0.500, 0.018), O at (0.337, 0.000, 0.304), O at (0.424, 0.000, 0.906) and O at (0.434, 0.500, 0.621).

=====

Record 11
Compound: LiB2C2
Source: the Alexandria database
Functional: PBE
Structure: optimized geometry

The calculation puts the energy above the most stable polymorph in this dataset at 45 meV per atom. Its formation enthalpy at 0 K is -0.024 eV/atom. As for the density: 1.9 g cm⁻³.

The space group is P-1 (No. 2) and the conventional cell measures 4.693, 5.418 and 7.771 Å, with angles of 110.22, 90.01 and 90.01 degrees. The distinct sites, in fractional coordinates, are Li at (0.000, 0.000, 0.000), Li at (0.001, 0.743, 0.500), Li at (0.500, 0.000, 0.500), B at (0.169, 0.123, 0.744), B at (0.171, 0.621, 0.747), B at (0.332, 0.625, 0.252), B at (0.334, 0.130, 0.256), C at (0.165, 0.377, 0.254), C at (0.169, 0.882, 0.261), C at (0.330, 0.871, 0.743) and C at (0.333, 0.369, 0.741).

=====

Record 12
Compound: ZnCd2Si
Source: the Alexandria database
Functional: PBE
Structure: optimized geometry

The calculation puts the energy above the most stable polymorph in this dataset at 0 meV per atom. As for the formation energy without anion corrections: 222 meV per atom. As for the density: 6.6 g cm⁻³.

The space group is R3m (No. 160, hexagonal axes) and the conventional cell measures 2.8326, 2.8326 and 34.5568 Å, with angles of 90.00, 90.00 and 120.00 degrees. The distinct sites, in fractional coordinates, are Zn at (0.0000, 0.0000, 0.0000), Cd at (0.0000, 0.0000, 0.5117), Cd at (0.0000, 0.0000, 0.7497) and Si at (0.0000, 0.0000, 0.2643).

=====

Record 13
Compound: Mg3MnPd6
Source: the Alexandria database
Functional: PBE
Structure: optimized geometry

Its formation enthalpy at 0 K is -0.534 eV/atom. As for the density: 8.1 g cm⁻³.

The space group is P2_1/m (No. 11) and the conventional cell measures 7.658, 4.504 and 9.548 Å, with angles of 90.00, 107.32 and 90.00 degrees. The distinct sites, in fractional coordinates, are Mg at (0.041, 0.250, 0.393), Mg at (0.145, 0.750, 0.204), Mg at (0.270, 0.250, 0.991), Mn at (0.448, 0.250, 0.600), Pd at (0.044, 0.750, 0.908), Pd at (0.150, 0.250, 0.691), Pd at (0.256, 0.750, 0.499), Pd at (0.350, 0.750, 0.806), Pd at (0.351, 0.250, 0.304) and Pd at (0.436, 0.750, 0.113).

=====

Record 14
Compound: PaZn2Au
Source: the Alexandria database
Functional: PBE
Structure: optimized geometry

The calculation puts the energy above the most stable polymorph in this dataset at 0 meV per atom. Its formation enthalpy at 0 K is -0.222 eV/atom. As for the density: 12.1 g cm⁻³.

The space group is Cmcm (No. 63) and the conventional cell measures 3.209, 20.741 and 4.597 Å, with angles of 90.00, 90.00 and 90.00 degrees. The distinct sites, in fractional coordinates, are Pa at (0.000, 0.096, 0.250), Zn at (0.000, 0.267, 0.750), Zn at (0.000, 0.470, 0.250) and Au at (0.000, 0.339, 0.250).

=====

Record 15
Compound: BaBe2P
Source: the Alexandria database
Functional: PBE
Structure: optimized geometry

Its formation enthalpy at 0 K is 0.197 eV/atom. As for the density: 3.6 g cm⁻³.

The space group is Immm (No. 71) and the conventional cell measures 3.578, 6.342 and 7.640 Å, with angles of 90.00, 90.00 and 90.00 degrees. The distinct sites, in fractional coordinates, are Ba at (0.000, 0.000, 0.000), Be at (0.000, 0.500, 0.148) and P at (0.000, 0.000, 0.500).

=====

Record 16
Compound: DyMn2Ni9
Source: the Alexandria database
Functional: PBE
Structure: optimized geometry

The calculation puts the energy above the most stable polymorph in this dataset at 21 meV per atom. Its formation enthalpy at 0 K is -0.163 eV/atom. As for the density: 8.6 g cm⁻³.

The space group is R-3m (No. 166, hexagonal axes) and the conventional cell measures 4.8008, 4.8008 and 23.3173 Å, with angles of 90.00, 90.00 and 120.00 degrees. The distinct sites, in fractional coordinates, are Dy at (0.0000, 0.0000, 0.0000), Mn at (0.0000, 0.0000, 0.1450), Ni at (0.0000, 0.0000, 0.3340), Ni at (0.0000, 0.0000, 0.5000) and Ni at (0.0049, 0.5024, 0.9138).

=====

Record 17
Compound: PrZrRu2
Source: the Alexandria database
Functional: PBE
Structure: optimized geometry

Its formation enthalpy at 0 K is -0.315 eV/atom. As for the density: 9.1 g cm⁻³.

The space group is P4/mmm (No. 123) and the conventional cell measures 3.366, 3.366 and 6.979 Å, with angles of 90.00, 90.00 and 90.00 degrees. The distinct sites, in fractional coordinates, are Pr at (0.000, 0.000, 0.000), Zr at (0.000, 0.000, 0.500) and Ru at (0.500, 0.500, 0.279).

=====

Record 18
Compound: SrCa2I6
Source: the Alexandria database
Functional: PBE
Structure: optimized geometry

As for the formation energy without anion corrections: -1563 meV per atom. As for the density: 3.9 g cm⁻³.

The space group is P2_12_12_1 (No. 19) and the conventional cell measures 7.422, 14.582 and 14.710 Å, with angles of 90.00, 90.00 and 90.00 degrees. The distinct sites, in fractional coordinates, are Sr at (0.234, 0.113, 0.263), Ca at (0.204, 0.610, 0.930), Ca at (0.214, 0.805, 0.380), I at (0.010, 0.301, 0.299), I at (0.010, 0.302, 0.578), I at (0.020, 0.002, 0.423), I at (0.026, 0.069, 0.750), I at (0.100, 0.776, 0.584) and I at (0.103, 0.583, 0.382).

=====

Record 19
Compound: Li5CeAg6
Source: the Alexandria database
Functional: PBE
Structure: optimized geometry

Its formation enthalpy at 0 K is -0.130 eV/atom. As for the density: 6.2 g cm⁻³.

The space group is Immm (No. 71) and the conventional cell measures 4.679, 6.839 and 13.778 Å, with angles of 90.00, 90.00 and 90.00 degrees. The distinct sites, in fractional coordinates, are Li at (0.000, 0.000, 0.000), Li at (0.000, 0.000, 0.338), Li at (0.000, 0.500, 0.328), Ce at (0.000, 0.500, 0.000), Ag at (0.000, 0.227, 0.178) and Ag at (0.000, 0.288, 0.500).

=====

Record 20
Compound: CsPb3
Source: the Alexandria database
Functional: PBE
Structure: optimized geometry

The calculation puts the energy above the most stable polymorph in this dataset at 4 meV per atom. Its formation enthalpy at 0 K is -0.120 eV/atom. As for the density: 7.2 g cm⁻³.

The space group is P4mm (No. 99) and the conventional cell measures 4.792, 4.792 and 7.531 Å, with angles of 90.00, 90.00 and 90.00 degrees. The distinct sites, in fractional coordinates, are Cs at (0.000, 0.000, 0.000), Pb at (0.000, 0.500, 0.539) and Pb at (0.500, 0.500, 0.256).